i) Compound: SrPrIn
Source: the Alexandria database
Functional: PBE
Structure: optimized geometry

Output
The mass density is 5.479 Mg/m³. The density of states at the Fermi level comes out at 2.4 states/eV per cell. The total magnetization comes out at 0.00 μB/f.u.

```
data_SrPrIn
_chemical_formula_sum 'Sr1 Pr1 In1'
_space_group_name_H-M_alt 'P 1'
_space_group_IT_number 1
_space_group_name_Hall 'P 1'
_cell_length_a 5.544
_cell_length_b 5.544
_cell_length_c 3.909
_cell_angle_alpha 90.00
_cell_angle_beta 90.00
_cell_angle_gamma 120.00
loop_
_atom_site_label
_atom_site_type_symbol
_atom_site_fract_x
_atom_site_fract_y
_atom_site_fract_z
Sr1 Sr 0.000 0.000 0.000
Pr1 Pr 0.333 0.667 0.427
In1 In 0.667 0.333 0.643
```



ii) Compound: SrPrIn
Source: the Alexandria database
Functional: PBE
Structure: optimized geometry

Output
The mass density is 5.606 Mg/m³. The density of states at the Fermi level comes out at 1.8 states/eV per cell. The total magnetization comes out at 0.00 μB/f.u.

```
data_SrPrIn
_chemical_formula_sum 'Sr2 Pr2 In2'
_space_group_name_H-M_alt 'P 1'
_space_group_IT_number 1
_space_group_name_Hall 'P 1'
_cell_length_a 5.674
_cell_length_b 5.674
_cell_length_c 7.297
_cell_angle_alpha 90.00
_cell_angle_beta 90.00
_cell_angle_gamma 120.00
loop_
_atom_site_label
_atom_site_type_symbol
_atom_site_fract_x
_atom_site_fract_y
_atom_site_fract_z
Sr1 Sr 0.000 0.000 0.000
Sr2 Sr 0.000 0.000 0.500
Pr1 Pr 0.333 0.667 0.250
Pr2 Pr 0.667 0.333 0.750
In1 In 0.333 0.667 0.750
In2 In 0.667 0.333 0.250
```



Most stable = ii)



i) Compound: SrPrIn
Source: the Alexandria database
Functional: PBE
Structure: optimized geometry

Output
The mass density is 5.074 Mg/m³. The density of states at the Fermi level comes out at 2.7 states/eV per cell. The total magnetization comes out at 0.00 μB/f.u.

```
data_SrPrIn
_chemical_formula_sum 'Sr2 Pr2 In2'
_space_group_name_H-M_alt 'P 1'
_space_group_IT_number 1
_space_group_name_Hall 'P 1'
_cell_length_a 5.471
_cell_length_b 5.471
_cell_length_c 8.669
_cell_angle_alpha 90.00
_cell_angle_beta 90.00
_cell_angle_gamma 120.00
loop_
_atom_site_label
_atom_site_type_symbol
_atom_site_fract_x
_atom_site_fract_y
_atom_site_fract_z
Sr1 Sr 0.333 0.667 0.360
Sr2 Sr 0.667 0.333 0.640
Pr1 Pr 0.333 0.667 0.904
Pr2 Pr 0.667 0.333 0.096
In1 In 0.000 0.000 0.181
In2 In 0.000 0.000 0.819
```



ii) Compound: SrPrIn
Source: the Alexandria database
Functional: PBE
Structure: optimized geometry

Output
The mass density is 4.699 Mg/m³. The density of states at the Fermi level comes out at 2.7 states/eV per cell. The total magnetization comes out at 0.00 μB/f.u.

```
data_SrPrIn
_chemical_formula_sum 'Sr1 Pr1 In1'
_space_group_name_H-M_alt 'P 1'
_space_group_IT_number 1
_space_group_name_Hall 'P 1'
_cell_length_a 9.406
_cell_length_b 9.406
_cell_length_c 9.406
_cell_angle_alpha 157.54
_cell_angle_beta 157.54
_cell_angle_gamma 31.97
loop_
_atom_site_label
_atom_site_type_symbol
_atom_site_fract_x
_atom_site_fract_y
_atom_site_fract_z
Sr1 Sr 0.000 0.000 0.000
Pr1 Pr 0.793 0.793 0.000
In1 In 0.180 0.180 0.000
```



Most stable = i)



i) Compound: Tb2PrIn
Source: the Alexandria database
Functional: PBE
Structure: optimized geometry

Output
The mass density is 7.516 Mg/m³. The density of states at the Fermi level comes out at 5.8 states/eV per cell. The total magnetization comes out at 0.00 μB/f.u.

```
data_Tb2PrIn
_chemical_formula_sum 'Tb2 Pr1 In1'
_space_group_name_H-M_alt 'P 1'
_space_group_IT_number 1
_space_group_name_Hall 'P 1'
_cell_length_a 11.123
_cell_length_b 11.123
_cell_length_c 11.123
_cell_angle_alpha 18.94
_cell_angle_beta 18.94
_cell_angle_gamma 18.94
loop_
_atom_site_label
_atom_site_type_symbol
_atom_site_fract_x
_atom_site_fract_y
_atom_site_fract_z
Tb1 Tb 0.000 0.000 0.000
Tb2 Tb 0.182 0.182 0.182
Pr1 Pr 0.758 0.758 0.758
In1 In 0.591 0.591 0.591
```



ii) Compound: Tb2PrIn
Source: the Alexandria database
Functional: PBE
Structure: optimized geometry

Output
The mass density is 8.007 Mg/m³. The density of states at the Fermi level comes out at 6.0 states/eV per cell. The total magnetization comes out at 0.01 μB/f.u.

```
data_Tb2PrIn
_chemical_formula_sum 'Tb2 Pr1 In1'
_space_group_name_H-M_alt 'P 1'
_space_group_IT_number 1
_space_group_name_Hall 'P 1'
_cell_length_a 4.939
_cell_length_b 4.939
_cell_length_c 4.876
_cell_angle_alpha 90.00
_cell_angle_beta 90.00
_cell_angle_gamma 90.00
loop_
_atom_site_label
_atom_site_type_symbol
_atom_site_fract_x
_atom_site_fract_y
_atom_site_fract_z
Tb1 Tb 0.000 0.500 0.000
Tb2 Tb 0.500 0.000 0.000
Pr1 Pr 0.000 0.000 0.500
In1 In 0.500 0.500 0.500
```



Most stable = ii)